A plane-wave DFT calculation with GGA+U was carried out for Co3TeO8 after structural relaxation.

Cell lengths 5.891, 6.042, 10.697 Å; angles 106.51, 106.80, 59.21 degrees
Each line ends with the local moment (μB).
Positions (direct):
Co: 0.500 0.000 0.500  1.93
Co: 0.500 0.500 0.000  1.97
Co: 0.000 0.000 0.500  -1.13
Co: 0.500 0.000 0.000  -1.06
Co: 0.000 0.500 0.500  1.96
Co: 0.000 0.500 0.000  1.95
Te: 0.000 0.000 0.000  0.00
Te: 0.500 0.500 0.500  0.00
O: 0.134 0.138 0.419  -0.05
O: 0.634 0.647 0.919  -0.06
O: 0.366 0.353 0.081  -0.06
O: 0.866 0.862 0.581  -0.05
O: 0.646 0.610 0.401  0.03
O: 0.138 0.132 0.902  -0.01
O: 0.140 0.654 0.395  0.09
O: 0.639 0.101 0.895  0.09
O: 0.636 0.131 0.402  -0.01
O: 0.145 0.644 0.902  0.02
O: 0.855 0.356 0.098  0.02
O: 0.364 0.869 0.598  -0.01
O: 0.361 0.899 0.105  0.09
O: 0.860 0.346 0.605  0.09
O: 0.862 0.868 0.098  -0.01
O: 0.354 0.390 0.599  0.03

Properties
Spin magnetization in μB per cell: 5.9
Total energy in eV per atom: -5.6485
Space-group type: P-1